1.
This record from Alexandria describes a relaxed TbNdSmZn crystal. The functional is PBE-GGA.

Properties
The value obtained for the energy relative to the elements is -0.160 eV per atom. The calculated total energy is -16.03 eV for the cell shown. As for the volume: 115 Å³/cell. The polymorph energy (0 for the lowest one) comes out at 0.000 eV per atom. As for the calculated density: 7.5 Mg/m³.

a = 3.6292 Å, b = 3.6292 Å, c = 8.7628 Å
α = 90.00°, β = 90.00°, γ = 90.00°
Last column: nearest neighbours and their distance in Å.
Space group P4mm (No. 99)
Inequivalent atoms, fractional coordinates:
Tb1 0.0000 0.0000 0.0000 [1 per cell]  4 Zn 3.09
Nd1 0.5000 0.5000 0.7073 [1 per cell]  4 Tb 3.63, 4 Nd 3.63, 4 Sm 3.67
Sm1 0.0000 0.0000 0.4084 [1 per cell]  4 Zn 3.17
Zn1 0.5000 0.5000 0.1970 [1 per cell]  4 Tb 3.09, 4 Sm 3.17

2.
This record from Alexandria describes a relaxed TbNdSmZr crystal. The functional is PBE-GGA.

Properties
The value obtained for the energy relative to the elements is 0.247 eV per atom. The calculated total energy is -86.71 eV for the cell shown. As for the volume: 488 Å³/cell. As for the calculated density: 7.4 Mg/m³.

a = 7.8741 Å, b = 7.8741 Å, c = 7.8741 Å
α = 90.00°, β = 90.00°, γ = 90.00°
Last column: nearest neighbours and their distance in Å.
Space group F-43m (No. 216)
Inequivalent atoms, fractional coordinates:
Tb1 0.0000 0.0000 0.0000 [4 per cell]  4 Zr 3.41, 4 Nd 3.41
Nd1 0.2500 0.2500 0.7500 [4 per cell]  4 Tb 3.41, 4 Sm 3.41
Sm1 0.0000 0.0000 0.5000 [4 per cell]  4 Zr 3.41, 4 Nd 3.41
Zr1 0.2500 0.2500 0.2500 [4 per cell]  4 Tb 3.41, 4 Sm 3.41

3.
This record from Alexandria describes a relaxed Nd2SmTc crystal. The functional is PBE-GGA.

Properties
The value obtained for the energy relative to the elements is 0.152 eV per atom. The calculated total energy is -24.01 eV for the cell shown. As for the volume: 114 Å³/cell. The polymorph energy (0 for the lowest one) comes out at 0.140 eV per atom. As for the calculated density: 7.8 Mg/m³.

a = 3.5475 Å, b = 3.5475 Å, c = 9.0830 Å
α = 90.00°, β = 90.00°, γ = 90.00°
Last column: nearest neighbours and their distance in Å.
Space group P4/mmm (No. 123)
Inequivalent atoms, fractional coordinates:
Nd1 0.0000 0.0000 0.1892 [2 per cell]  4 Tc 3.04
Sm1 0.5000 0.5000 0.5000 [1 per cell]  4 Sm 3.55, 8 Nd 3.78
Tc1 0.5000 0.5000 0.0000 [1 per cell]  8 Nd 3.04

4.
This record from Alexandria describes a relaxed NdSm2Tc crystal. The functional is PBE-GGA.

Properties
The value obtained for the energy relative to the elements is 0.099 eV per atom. The calculated total energy is -24.18 eV for the cell shown. As for the volume: 113 Å³/cell. The polymorph energy (0 for the lowest one) comes out at 0.104 eV per atom. As for the calculated density: 8.0 Mg/m³.

a = 3.5092 Å, b = 3.5092 Å, c = 9.2073 Å
α = 90.00°, β = 90.00°, γ = 90.00°
Last column: nearest neighbours and their distance in Å.
Space group P4/mmm (No. 123)
Inequivalent atoms, fractional coordinates:
Nd1 0.0000 0.0000 0.0000 [1 per cell]  4 Nd 3.51, 8 Sm 3.83
Sm1 0.5000 0.5000 0.3162 [2 per cell]  4 Tc 3.00
Tc1 0.0000 0.0000 0.5000 [1 per cell]  8 Sm 3.00

5.
This record from Alexandria describes a relaxed Nd2Sm2Tc crystal. The functional is PBE-GGA.

Properties
The value obtained for the energy relative to the elements is 0.049 eV per atom. The calculated total energy is -116.38 eV for the cell shown. As for the volume: 624 Å³/cell. As for the calculated density: 7.3 Mg/m³.

a = 7.5995 Å, b = 12.2745 Å, c = 7.4600 Å
α = 90.00°, β = 116.26°, γ = 90.00°
Last column: nearest neighbours and their distance in Å.
Space group C2/m (No. 12)
Inequivalent atoms, fractional coordinates:
Nd1 0.2255 0.0000 0.4044 [4 per cell]  2 Tc 3.15, 1 Nd 3.39
Nd2 0.2392 0.5000 0.0871 [4 per cell]  2 Tc 2.82
Sm1 0.0452 0.2742 0.7532 [8 per cell]  1 Tc 2.71
Tc1 0.0000 0.1272 0.0000 [4 per cell]  2 Sm 2.71, 2 Nd 2.82

6.
This record from Alexandria describes a relaxed NdSmTc4 crystal. The functional is PBE-GGA.

Properties
The value obtained for the energy relative to the elements is 0.022 eV per atom. The calculated total energy is -203.28 eV for the cell shown. As for the volume: 465 Å³/cell. As for the calculated density: 9.8 Mg/m³.

a = 7.7452 Å, b = 7.7452 Å, c = 7.7452 Å
α = 90.00°, β = 90.00°, γ = 90.00°
Last column: nearest neighbours and their distance in Å.
Space group F-43m (No. 216)
Inequivalent atoms, fractional coordinates:
Nd1 0.0000 0.0000 0.0000 [4 per cell]  12 Tc 3.21, 4 Sm 3.35
Sm1 0.2500 0.2500 0.2500 [4 per cell]  12 Tc 3.21, 4 Nd 3.35
Tc1 0.1250 0.1250 0.6250 [16 per cell]  6 Tc 2.74

7.
This record from Alexandria describes a relaxed NdSm2Tc crystal. The functional is PBE-GGA.

Properties
The value obtained for the energy relative to the elements is -0.004 eV per atom. The calculated total energy is -98.36 eV for the cell shown. As for the volume: 461 Å³/cell. The polymorph energy (0 for the lowest one) comes out at 0.001 eV per atom. As for the calculated density: 7.8 Mg/m³.

a = 7.5030 Å, b = 9.4905 Å, c = 6.4788 Å
α = 90.00°, β = 90.00°, γ = 90.00°
Last column: nearest neighbours and their distance in Å.
Space group Pnma (No. 62)
Inequivalent atoms, fractional coordinates:
Nd1 0.0460 0.2500 0.1316 [4 per cell]  2 Tc 2.81-2.90
Sm1 0.1762 0.0655 0.6643 [8 per cell]  2 Tc 2.89-3.05
Tc1 0.1107 0.7500 0.4592 [4 per cell]  2 Nd 2.81-2.90, 4 Sm 2.89-3.05

8.
This record from Alexandria describes a relaxed Nd2SmTc crystal. The functional is PBE-GGA.

Properties
The value obtained for the energy relative to the elements is 0.310 eV per atom. The calculated total energy is -70.14 eV for the cell shown. As for the volume: 322 Å³/cell. The polymorph energy (0 for the lowest one) comes out at 0.298 eV per atom. As for the calculated density: 8.3 Mg/m³.

a = 5.6173 Å, b = 5.6173 Å, c = 11.7782 Å
α = 90.00°, β = 90.00°, γ = 120.00°
Last column: nearest neighbours and their distance in Å.
Space group R-3m (No. 166, hexagonal axes)
Inequivalent atoms, fractional coordinates:
Nd1 0.0000 0.0000 0.2340 [6 per cell]  1 Tc 2.76
Sm1 0.0000 0.0000 0.5000 [3 per cell]  8 Nd 3.13-3.34
Tc1 0.0000 0.0000 0.0000 [3 per cell]  2 Nd 2.76

9.
This record from Alexandria describes a relaxed Nd2SmTc crystal. The functional is PBE-GGA.

Properties
The value obtained for the energy relative to the elements is 0.012 eV per atom. The calculated total energy is -98.28 eV for the cell shown. As for the volume: 469 Å³/cell. The polymorph energy (0 for the lowest one) comes out at 0.001 eV per atom. As for the calculated density: 7.6 Mg/m³.

a = 4.0165 Å, b = 12.2628 Å, c = 9.5127 Å
α = 90.00°, β = 90.00°, γ = 90.00°
Last column: nearest neighbours and their distance in Å.
Space group Cmcm (No. 63)
Inequivalent atoms, fractional coordinates:
Nd1 0.0000 0.1432 0.0695 [8 per cell]  3 Tc 3.01-3.26
Sm1 0.0000 0.4229 0.2500 [4 per cell]  2 Tc 2.82
Tc1 0.0000 0.2388 0.7500 [4 per cell]  2 Sm 2.82, 4 Nd 3.01

10.
This record from Alexandria describes a relaxed NdSm2Tc crystal. The functional is PBE-GGA.

Properties
The value obtained for the energy relative to the elements is 0.323 eV per atom. The calculated total energy is -69.84 eV for the cell shown. As for the volume: 353 Å³/cell. The polymorph energy (0 for the lowest one) comes out at 0.328 eV per atom. As for the calculated density: 7.7 Mg/m³.

a = 3.4913 Å, b = 3.4913 Å, c = 33.4381 Å
α = 90.00°, β = 90.00°, γ = 120.00°
Last column: nearest neighbours and their distance in Å.
Space group R-3m (No. 166, hexagonal axes)
Inequivalent atoms, fractional coordinates:
Nd1 0.0000 0.0000 0.0000 [3 per cell]  6 Nd 3.49, 2 Sm 3.53
Sm1 0.0000 0.0000 0.1055 [6 per cell]  3 Tc 2.87
Tc1 0.0000 0.0000 0.5000 [3 per cell]  6 Sm 2.87

11.
This record from Alexandria describes a relaxed NdSm3Tc crystal. The functional is PBE-GGA.

Properties
The value obtained for the energy relative to the elements is 0.019 eV per atom. The calculated total energy is -116.79 eV for the cell shown. As for the volume: 602 Å³/cell. The polymorph energy (0 for the lowest one) comes out at 0.000 eV per atom. As for the calculated density: 7.7 Mg/m³.

a = 12.3576 Å, b = 4.0040 Å, c = 13.1083 Å
α = 90.00°, β = 111.91°, γ = 90.00°
Last column: nearest neighbours and their distance in Å.
Space group Cm (No. 8)
Inequivalent atoms, fractional coordinates:
Nd1 0.0000 0.0000 0.0000 [2 per cell]  3 Tc 3.01-3.26
Nd2 0.1105 0.0000 0.2809 [2 per cell]  2 Tc 3.01
Sm1 0.1294 0.0000 0.6154 [2 per cell]  2 Tc 2.98
Sm2 0.2433 0.0000 0.8931 [2 per cell]  3 Tc 3.00-3.23
Sm3 0.2761 0.5000 0.1418 [2 per cell]  2 Tc 2.83
Sm4 0.2996 0.5000 0.5157 [2 per cell]  1 Tc 3.08
Sm5 0.4392 0.0000 0.3803 [2 per cell]  1 Tc 3.14, 2 Nd 3.50
Sm6 0.4652 0.0000 0.7515 [2 per cell]  2 Tc 2.84
Tc1 0.3017 0.5000 0.7515 [2 per cell]  7 Sm 2.84-3.08
Tc2 0.4373 0.0000 0.1401 [2 per cell]  3 Sm 2.83-3.14, 4 Nd 3.01

12.
This record from Alexandria describes a relaxed Nd3SmTc crystal. The functional is PBE-GGA.

Properties
The value obtained for the energy relative to the elements is 0.033 eV per atom. The calculated total energy is -116.90 eV for the cell shown. As for the volume: 614 Å³/cell. The polymorph energy (0 for the lowest one) comes out at 0.000 eV per atom. As for the calculated density: 7.4 Mg/m³.

a = 12.4299 Å, b = 4.0079 Å, c = 13.3130 Å
α = 90.00°, β = 112.31°, γ = 90.00°
Last column: nearest neighbours and their distance in Å.
Space group Cm (No. 8)
Inequivalent atoms, fractional coordinates:
Nd1 0.0000 0.0000 0.0000 [2 per cell]  2 Tc 2.85
Nd2 0.0198 0.0000 0.3737 [2 per cell]  1 Tc 3.15, 2 Sm 3.52
Nd3 0.1638 0.5000 0.2417 [2 per cell]  1 Tc 3.26, 4 Nd 3.54-3.56
Nd4 0.1885 0.5000 0.6124 [2 per cell]  2 Tc 2.86
Nd5 0.2235 0.0000 0.8595 [2 per cell]  3 Tc 3.00-3.29
Nd6 0.3318 0.0000 0.1374 [2 per cell]  2 Tc 3.00
Sm1 0.3533 0.0000 0.4779 [2 per cell]  2 Tc 2.97
Sm2 0.4680 0.0000 0.7523 [2 per cell]  3 Tc 2.99-3.22
Tc1 0.0240 0.0000 0.6122 [2 per cell]  3 Nd 2.86-3.15, 4 Sm 2.97-2.99
Tc2 0.1613 0.5000 0.9963 [2 per cell]  6 Nd 2.85-3.00